NaSr3Cu | PBE | relaxed

Calculated values
D(E_F) = 3.82 states/eV/f.u.
M_tot = 0.000 μB/atom
Symmetry = Pm-3m (221)
Energy above the most stable polymorph in this dataset = 0.0 kJ/mol of atoms
E_form = 0.00 eV/f.u.
DFT total energy = -2.09 eV per atom

Cell and atoms, written as POSCAR:
```
NaSr3Cu
1.0
-1.884 -5.747 -0.474
3.931 -1.645 4.319
-4.220 1.034 4.234
Cu Sr Na
1 3 1
Cartesian
0.000 0.000 0.000 Cu
-0.942 -2.874 -0.237 Sr
-2.110 0.517 2.117 Sr
1.965 -0.822 2.159 Sr
-1.086 -3.179 4.040 Na
```